# 1
DFT (PBE-GGA) results for BeNbCdPd2 after structural relaxation.

POSCAR file:
```
BeNbCdPd2
1.0
-4.1915 -0.4857 2.3947
1.5052 -3.3931 1.9464
1.7131 2.8065 3.5677
Be Nb Pd Cd
1 1 2 1
direct
0.0000 0.5000 0.0000
0.5000 0.5000 0.5000
0.0000 0.0000 0.5000
0.5000 0.0000 0.0000
0.0000 0.0000 0.0000
```

Calculated values
Formation energy from the elements   1186 meV/atom

# 2
DFT (PBE-GGA) results for Be2Nb2CdRh5 after structural relaxation.

POSCAR file:
```
Be2Nb2CdRh5
1.0
3.1399 0.0000 0.0000
0.0000 9.4931 0.0000
0.0000 0.0000 9.4931
Be Nb Cd Rh
4 4 2 10
direct
0.0000 0.1215 0.6215
0.0000 0.8785 0.3785
0.0000 0.6215 0.8785
0.0000 0.3785 0.1215
0.0000 0.6758 0.1758
0.0000 0.3242 0.8242
0.0000 0.1758 0.3242
0.0000 0.8242 0.6758
0.0000 0.0000 0.0000
0.0000 0.5000 0.5000
0.5000 0.2188 0.0708
0.5000 0.7812 0.9292
0.5000 0.0708 0.7812
0.5000 0.7188 0.4292
0.5000 0.9292 0.2188
0.5000 0.2812 0.5708
0.5000 0.5708 0.7188
0.5000 0.4292 0.2812
0.5000 0.5000 0.0000
0.5000 0.0000 0.5000
```

Calculated values
Formation energy from the elements   -416 meV/atom

# 3
DFT (PBE-GGA) results for BeNb2ZnCd after structural relaxation.

POSCAR file:
```
BeNb2ZnCd
1.0
-2.0119 -3.8829 0.8312
2.2724 -1.8853 -3.3067
3.2498 -1.0746 2.8460
Be Nb Zn Cd
1 2 1 1
direct
0.0000 0.0000 0.0000
0.0000 0.0000 0.5000
0.5000 0.0000 0.0000
0.5000 0.5000 0.5000
0.0000 0.5000 0.0000
```

Calculated values
Formation energy from the elements   559 meV/atom

# 4
DFT (PBE-GGA) results for Nd2BeCd after structural relaxation.

POSCAR file:
```
Nd2BeCd
1.0
3.6195 0.0000 0.0000
0.0000 3.6195 0.0000
0.0000 0.0000 7.6606
Be Nd Cd
1 2 1
direct
0.5000 0.5000 0.0000
0.0000 0.0000 0.7816
0.0000 0.0000 0.2184
0.5000 0.5000 0.5000
```

Calculated values
Formation energy from the elements   -71 meV/atom

# 5
DFT (PBE-GGA) results for NdBeCd after structural relaxation.

POSCAR file:
```
NdBeCd
1.0
3.9601 0.0000 0.0000
0.0000 4.5088 0.0000
0.0000 2.2544 8.0941
Nd Cd Be
2 2 2
direct
0.2500 0.9114 0.1773
0.7500 0.0886 0.8227
0.2500 0.2617 0.4766
0.7500 0.7383 0.5234
0.2500 0.5257 0.9485
0.7500 0.4743 0.0515
```

Calculated values
Formation energy from the elements   134 meV/atom

# 6
DFT (PBE-GGA) results for Nd2BeCdPd6 after structural relaxation.

POSCAR file:
```
Nd2BeCdPd6
1.0
-1.4593 -1.7299 -5.4786
3.4077 -6.7357 1.2155
-2.2948 -7.2944 -0.2949
Nd Be Cd Pd
2 1 1 6
direct
0.7573 0.2428 0.4847
0.2427 0.7572 0.5153
0.5000 0.5000 0.0000
0.0000 0.0000 0.0000
0.2658 0.2101 0.4679
0.7909 0.7346 0.9429
0.2659 0.7344 0.9430
0.7341 0.2656 0.0570
0.2091 0.2654 0.0571
0.7342 0.7899 0.5321
```

Calculated values
Formation energy from the elements   -561 meV/atom

# 7
DFT (PBE-GGA) results for Nd3Be2CdPd9 after structural relaxation.

POSCAR file:
```
Nd3Be2CdPd9
1.0
-5.9625 1.5142 2.9493
2.1926 -6.4587 -0.1416
3.3391 0.9968 6.2389
Nd Be Cd Pd
3 2 1 9
direct
0.3333 0.6667 0.6671
0.0000 0.0000 0.0000
0.6667 0.3333 0.3329
0.3333 0.6667 0.1249
0.6667 0.3333 0.8751
0.0000 0.0000 0.5000
0.8090 0.1910 0.6811
0.8090 0.6181 0.6811
0.3819 0.1910 0.6811
0.6181 0.8090 0.3189
0.1910 0.3819 0.3189
0.1910 0.8090 0.3189
0.5000 0.0000 0.0000
0.0000 0.5000 0.0000
0.5000 0.5000 0.0000
```

Calculated values
Formation energy from the elements   -525 meV/atom

# 8
DFT (PBE-GGA) results for Nd2BeCdPt6 after structural relaxation.

POSCAR file:
```
Nd2BeCdPt6
1.0
5.6957 0.0345 0.0297
-0.0532 7.6847 1.4085
2.7912 4.8546 5.4507
Nd Be Cd Pt
2 1 1 6
direct
0.7822 0.2174 0.4358
0.2178 0.7826 0.5642
0.0000 0.0000 0.0000
0.5000 0.5000 0.0000
0.2357 0.2782 0.5289
0.7211 0.7638 0.0437
0.2355 0.7639 0.0438
0.7645 0.2361 0.9562
0.2789 0.2362 0.9564
0.7643 0.7218 0.4711
```

Calculated values
Formation energy from the elements   -692 meV/atom

# 9
DFT (PBE-GGA) results for Nd2Be2CdPt5 after structural relaxation.

POSCAR file:
```
Nd2Be2CdPt5
1.0
-2.6293 2.3088 0.7563
-3.9711 -6.5416 6.1639
5.3573 3.6882 7.3657
Nd Be Cd Pt
4 4 2 10
direct
0.0000 0.6798 0.1798
0.0000 0.3202 0.8202
0.0000 0.1798 0.3202
0.0000 0.8202 0.6798
0.0000 0.1162 0.6162
0.0000 0.8838 0.3838
0.0000 0.6162 0.8838
0.0000 0.3838 0.1162
0.0000 0.0000 0.0000
0.0000 0.5000 0.5000
0.5000 0.2226 0.0671
0.5000 0.7774 0.9329
0.5000 0.0671 0.7774
0.5000 0.7226 0.4329
0.5000 0.9329 0.2226
0.5000 0.2774 0.5671
0.5000 0.5671 0.7226
0.5000 0.4329 0.2774
0.5000 0.5000 0.0000
0.5000 0.0000 0.5000
```

Calculated values
Formation energy from the elements   -840 meV/atom

# 10
DFT (PBE-GGA) results for Be4CdNi after structural relaxation.

POSCAR file:
```
Be4CdNi
1.0
3.4912 -2.6935 -0.2267
-0.5768 -4.3760 0.1126
0.6948 -2.4125 -3.6320
Be Cd Ni
4 1 1
direct
0.8805 0.3732 0.3732
0.3732 0.3732 0.8805
0.3732 0.8805 0.3732
0.3732 0.3732 0.3732
0.7500 0.7500 0.7500
0.0000 0.0000 0.0000
```

Calculated values
Formation energy from the elements   -65 meV/atom

# 11
DFT (PBE-GGA) results for Be2CdNi after structural relaxation.

POSCAR file:
```
Be2CdNi
1.0
-4.3843 -0.6622 1.1997
-1.7396 -4.0676 -1.2363
3.7984 1.3947 2.1741
Ni Be Cd
1 2 1
direct
0.7500 0.2500 0.5000
0.0000 0.0000 0.0000
0.2500 0.7500 0.5000
0.5000 0.5000 0.0000
```

Calculated values
Formation energy from the elements   142 meV/atom

# 12
DFT (PBE-GGA) results for Be2CdNi after structural relaxation.

POSCAR file:
```
Be2CdNi
1.0
-2.3658 -1.9588 1.9066
1.8060 -1.9474 0.2402
2.6087 1.0975 4.3644
Ni Be Cd
1 2 1
direct
0.5000 0.7658 0.8467
0.0000 0.2047 0.9731
0.5000 0.0833 0.2038
0.0000 0.4463 0.4764
```

Calculated values
Formation energy from the elements   76 meV/atom

# 13
DFT (PBE-GGA) results for Be2CdNi after structural relaxation.

POSCAR file:
```
Be2CdNi
1.0
4.2035 0.0280 -0.0193
3.2282 2.6924 -0.0193
1.1199 0.4099 4.4295
Ni Be Cd
1 2 1
direct
0.2500 0.2500 0.2500
0.9742 0.9742 0.0961
0.5258 0.5258 0.4039
0.7500 0.7500 0.7500
```

Calculated values
Formation energy from the elements   110 meV/atom

# 14
DFT (PBE-GGA) results for Be2CdNi after structural relaxation.

POSCAR file:
```
Be2CdNi
1.0
4.0020 0.0000 0.0000
0.0000 4.0020 0.0000
2.0010 2.0010 7.4708
Ni Be Cd
2 4 2
direct
0.5000 0.5000 0.0000
0.2500 0.7500 0.5000
0.3897 0.1250 0.2500
0.3603 0.6250 0.2500
0.3750 0.6103 0.7500
0.8750 0.6397 0.7500
0.0000 0.0000 0.0000
0.7500 0.2500 0.5000
```

Calculated values
Formation energy from the elements   409 meV/atom

# 15
DFT (PBE-GGA) results for BeCdNi after structural relaxation.

POSCAR file:
```
BeCdNi
1.0
-3.6777 -1.5247 0.9661
-0.9440 -0.7454 3.9162
-2.7490 2.3480 1.9271
Ni Be Cd
1 1 1
direct
0.0000 0.0000 0.0000
0.5000 0.5000 0.5000
0.7500 0.7500 0.7500
```

Calculated values
Formation energy from the elements   667 meV/atom
Energy relative to the lowest polymorph listed for this composition   691 meV per atom

# 16
DFT (PBE-GGA) results for BeCdNi after structural relaxation.

POSCAR file:
```
BeCdNi
1.0
5.0524 -0.0117 0.0128
4.2205 2.7775 0.0106
0.8319 0.2504 2.7780
Ni Be Cd
1 1 1
direct
0.6294 0.6294 0.3706
0.0373 0.0373 0.9627
0.3333 0.3333 0.6667
```

Calculated values
Formation energy from the elements   -25 meV/atom
Energy relative to the lowest polymorph listed for this composition   0 meV per atom

# 17
DFT (PBE-GGA) results for BeCdNi after structural relaxation.

POSCAR file:
```
BeCdNi
1.0
-2.1731 2.8140 1.7659
-0.4803 -3.8078 1.0146
2.0314 0.2877 2.0414
Ni Be Cd
1 1 1
direct
0.3333 0.6667 0.8342
0.0000 0.0000 0.8321
0.6667 0.3333 0.3337
```

Calculated values
Formation energy from the elements   103 meV/atom
Energy relative to the lowest polymorph listed for this composition   128 meV per atom

# 18
DFT (PBE-GGA) results for Be2CdNi after structural relaxation.

POSCAR file:
```
Be2CdNi
1.0
8.3699 0.0317 0.0187
7.9272 2.6865 0.0187
7.9272 1.3222 2.3387
Ni Be Cd
1 2 1
direct
0.7500 0.7500 0.7500
0.0175 0.0175 0.0175
0.4825 0.4825 0.4825
0.2500 0.2500 0.2500
```

Calculated values
Formation energy from the elements   252 meV/atom

# 19
DFT (PBE-GGA) results for Be2CdNi after structural relaxation.

POSCAR file:
```
Be2CdNi
1.0
-2.2870 -1.2041 -1.1406
-0.8993 -0.7318 2.5763
-2.9358 5.1586 0.4405
Ni Cd Be
1 1 2
direct
0.5000 0.5000 0.8222
0.0000 0.0000 0.4940
0.0000 0.0000 0.9952
0.5000 0.5000 0.1887
```

Calculated values
Formation energy from the elements   29 meV/atom

# 20
DFT (PBE-GGA) results for BeCdNi after structural relaxation.

POSCAR file:
```
BeCdNi
1.0
3.9274 0.0000 0.0000
1.9637 3.4012 0.0000
1.9637 1.1337 3.2067
Ni Be Cd
1 1 1
direct
0.5000 0.5000 0.5000
0.7500 0.7500 0.7500
0.0000 0.0000 0.0000
```

Calculated values
Formation energy from the elements   260 meV/atom
Energy relative to the lowest polymorph listed for this composition   285 meV per atom

# 21
DFT (PBE-GGA) results for Be2CdNi after structural relaxation.

POSCAR file:
```
Be2CdNi
1.0
-3.2676 2.4018 1.7899
-3.8976 -0.3231 2.0865
0.7828 0.2724 4.1645
Ni Be Cd
1 2 1
direct
0.2733 0.2733 0.1679
0.0009 0.0009 0.0235
0.7286 0.7286 0.7891
0.4972 0.4972 0.5195
```

Calculated values
Formation energy from the elements   118 meV/atom

# 22
DFT (PBE-GGA) results for Be2CdNi after structural relaxation.

POSCAR file:
```
Be2CdNi
1.0
-0.6169 1.6119 2.2484
1.6484 -1.6354 1.6248
4.6081 3.4461 -1.2063
Ni Be Cd
1 2 1
direct
0.5000 0.5000 0.7500
0.0000 0.0000 0.9353
0.0000 0.0000 0.5647
0.5000 0.5000 0.2500
```

Calculated values
Formation energy from the elements   -39 meV/atom

# 23
DFT (PBE-GGA) results for Be2CdNi after structural relaxation.

POSCAR file:
```
Be2CdNi
1.0
-0.9805 3.5552 1.1398
0.4063 -1.0697 3.6866
3.0257 0.8612 -0.0836
Ni Be Cd
1 2 1
direct
0.0000 0.5000 0.5000
0.0000 0.0000 0.0000
0.5000 0.5000 0.0000
0.5000 0.0000 0.5000
```

Calculated values
Formation energy from the elements   126 meV/atom

# 24
DFT (PBE-GGA) results for BeCdNi4 after structural relaxation.

POSCAR file:
```
BeCdNi4
1.0
0.0000 3.3501 3.3501
3.3501 0.0000 3.3501
3.3501 3.3501 0.0000
Be Cd Ni
1 1 4
direct
0.7500 0.7500 0.7500
0.0000 0.0000 0.0000
0.8731 0.3756 0.3756
0.3756 0.3756 0.3756
0.3756 0.3756 0.8731
0.3756 0.8731 0.3756
```

Calculated values
Formation energy from the elements   148 meV/atom

# 25
DFT (PBE-GGA) results for Be2CdNi after structural relaxation.

POSCAR file:
```
Be2CdNi
1.0
-3.2839 1.2468 2.1147
-1.3587 -2.2156 3.1711
0.4390 1.4109 3.8246
Ni Be Cd
1 2 1
direct
0.2500 0.2500 0.2500
0.0000 0.0000 0.0000
0.7500 0.7500 0.7500
0.5000 0.5000 0.5000
```

Calculated values
Formation energy from the elements   231 meV/atom

# 26
DFT (PBE-GGA) results for RbBeCdNi2 after structural relaxation.

POSCAR file:
```
RbBeCdNi2
1.0
4.4380 0.0000 0.0000
0.0000 4.8263 0.0000
0.0000 0.0000 4.4380
Ni Be Rb Cd
2 1 1 1
direct
0.0000 0.0000 0.5000
0.5000 0.0000 0.0000
0.0000 0.0000 0.0000
0.5000 0.5000 0.5000
0.0000 0.5000 0.0000
```

Calculated values
Formation energy from the elements   608 meV/atom

# 27
DFT (PBE-GGA) results for BeCdNi2Se after structural relaxation.

POSCAR file:
```
BeCdNi2Se
1.0
4.7039 0.0000 0.0000
0.0000 4.3335 0.0000
0.0000 0.0000 4.7039
Ni Be Se Cd
2 1 1 1
direct
0.0000 0.0000 0.5000
0.5000 0.0000 0.0000
0.0000 0.5000 0.0000
0.5000 0.5000 0.5000
0.0000 0.0000 0.0000
```

Calculated values
Uncorrected formation energy   1.196 eV per atom

no.,E (eV/atom)
1,-3.833
2,-6.942
3,-4.652
4,-3.616
5,-3.002
6,-5.094
7,-5.152
8,-5.735
9,-5.651
10,-3.665
11,-3.396
12,-3.461
13,-3.428
14,-3.128
15,-2.808
16,-3.499
17,-3.371
18,-3.286
19,-3.508
20,-3.214
21,-3.420
22,-3.576
23,-3.412
24,-4.480
25,-3.307
26,-2.826
27,-2.742